{
  "formula": "Tm2Zn2SnPd5",
  "functional": "PBE-GGA",
  "state": "relaxed",
  "lattice_angstrom": [[-0.864, -2.995, -2.195], [-4.690, -4.088, 7.424], [-8.186, 4.382, -2.758]],
  "species": ["Tm", "Pd", "Zn", "Zn", "Tm", "Pd", "Pd", "Zn", "Pd", "Sn", "Pd", "Tm", "Pd", "Pd", "Pd", "Tm", "Pd", "Sn", "Pd", "Zn"],
  "fractional_positions": [[0.000, 0.324, 0.824], [0.500, 0.293, 0.570], [0.000, 0.380, 0.120], [0.000, 0.880, 0.380], [0.000, 0.676, 0.176], [0.500, 0.707, 0.430], [0.500, 0.793, 0.930], [0.000, 0.120, 0.620], [0.500, 0.000, 0.500], [0.000, 0.500, 0.500], [0.500, 0.070, 0.793], [0.000, 0.824, 0.676], [0.500, 0.207, 0.070], [0.500, 0.430, 0.293], [0.500, 0.500, 0.000], [0.000, 0.176, 0.324], [0.500, 0.930, 0.207], [0.000, 0.000, 0.000], [0.500, 0.570, 0.707], [0.000, 0.620, 0.880]],
  "e_form_ev_per_atom": -0.73,
  "spacegroup": "No. 127",
  "magmom_total_mub_per_cell": 0.0,
  "volume_a3_per_cell": 357.6,
  "total_energy_ev_per_atom": -4.87
}